Record 1
# Tb2Sm3Y4, relaxed, DFT PBE-GGA
# Distance to the lowest polymorph of the same formula in meV per atom: 81
# Symmetry: C2/c
# Energy of formation in eV per atom: 0.10
data_Tb2Sm3Y4
_chemical_formula_sum 'Tb4 Sm6 Y8'
_cell_length_a 6.1268
_cell_length_b 11.3431
_cell_length_c 11.3431
_cell_angle_alpha 61.77
_cell_angle_beta 62.74
_cell_angle_gamma 62.74
_space_group_name_H-M_alt 'P 1'
_space_group_IT_number 1
_space_group_name_Hall 'P 1'
loop_
_atom_site_label
_atom_site_type_symbol
_atom_site_fract_x
_atom_site_fract_y
_atom_site_fract_z
Tb1 Tb 0.9175 0.5210 0.2406
Y1 Y 0.4207 0.9081 0.1865
Sm1 Sm 0.2481 0.9338 0.7333
Sm2 Sm 0.7519 0.0662 0.2667
Y2 Y 0.5793 0.0919 0.8135
Y3 Y 0.9233 0.8493 0.5780
Tb2 Tb 0.4175 0.2406 0.5210
Sm3 Sm 0.2519 0.2667 0.0662
Y4 Y 0.5767 0.4220 0.1507
Sm4 Sm 0.7481 0.7333 0.9338
Sm5 Sm 0.7500 0.4032 0.5968
Y5 Y 0.0793 0.8135 0.0919
Tb3 Tb 0.5825 0.7594 0.4790
Y6 Y 0.0767 0.1507 0.4220
Tb4 Tb 0.0825 0.4790 0.7594
Y7 Y 0.9207 0.1865 0.9081
Sm6 Sm 0.2500 0.5968 0.4032
Y8 Y 0.4233 0.5780 0.8493

=====

Record 2
# Te3As4, relaxed, DFT PBE-GGA
# Symmetry: P6/mmm
# E_tot in eV/atom: -3.42
data_Te3As4
_chemical_formula_sum 'Te3 As4'
_cell_length_a 6.8221
_cell_length_b 6.8221
_cell_length_c 4.6743
_cell_angle_alpha 90.00
_cell_angle_beta 90.00
_cell_angle_gamma 120.00
_space_group_name_H-M_alt 'P 1'
_space_group_IT_number 1
_space_group_name_Hall 'P 1'
loop_
_atom_site_label
_atom_site_type_symbol
_atom_site_fract_x
_atom_site_fract_y
_atom_site_fract_z
As1 As 0.3333 0.6667 0.5000
Te1 Te 0.5000 0.0000 0.0000
As2 As 0.6667 0.3333 0.5000
Te2 Te 0.5000 0.5000 0.0000
Te3 Te 0.0000 0.5000 0.0000
As3 As 0.0000 0.0000 0.2630
As4 As 0.0000 0.0000 0.7370

=====

Record 3
# Bi2Pb2Au3, relaxed, DFT PBE-GGA
# Distance to the lowest polymorph of the same formula in meV per atom: 9
# Symmetry: P2_1/c
# Energy of formation in eV per atom: -0.04
data_Bi2Pb2Au3
_chemical_formula_sum 'Bi4 Pb4 Au6'
_cell_length_a 7.2709
_cell_length_b 7.9398
_cell_length_c 7.0434
_cell_angle_alpha 90.00
_cell_angle_beta 76.08
_cell_angle_gamma 90.00
_space_group_name_H-M_alt 'P 1'
_space_group_IT_number 1
_space_group_name_Hall 'P 1'
loop_
_atom_site_label
_atom_site_type_symbol
_atom_site_fract_x
_atom_site_fract_y
_atom_site_fract_z
Bi1 Bi 0.8874 0.8116 0.3638
Au1 Au 0.0000 0.0000 0.0000
Pb1 Pb 0.1235 0.3427 0.1398
Bi2 Bi 0.6126 0.3116 0.6362
Bi3 Bi 0.1126 0.1884 0.6362
Bi4 Bi 0.3874 0.6884 0.3638
Au2 Au 0.7462 0.9909 0.7331
Au3 Au 0.2462 0.5091 0.7331
Au4 Au 0.5000 0.5000 0.0000
Pb2 Pb 0.3765 0.8427 0.8602
Pb3 Pb 0.6235 0.1573 0.1398
Pb4 Pb 0.8765 0.6573 0.8602
Au5 Au 0.7538 0.4909 0.2669
Au6 Au 0.2538 0.0091 0.2669

=====

Record 4
# Pa2Cl13, relaxed, DFT PBE-GGA
# Symmetry: P-1
# E_tot in eV/atom: -4.28
data_Pa2Cl13
_chemical_formula_sum 'Pa2 Cl13'
_cell_length_a 7.4360
_cell_length_b 9.1543
_cell_length_c 10.0337
_cell_angle_alpha 114.90
_cell_angle_beta 95.05
_cell_angle_gamma 97.46
_space_group_name_H-M_alt 'P 1'
_space_group_IT_number 1
_space_group_name_Hall 'P 1'
loop_
_atom_site_label
_atom_site_type_symbol
_atom_site_fract_x
_atom_site_fract_y
_atom_site_fract_z
Cl1 Cl 0.9099 0.5792 0.7143
Cl2 Cl 0.0901 0.4208 0.2857
Cl3 Cl 0.2794 0.9003 0.2546
Cl4 Cl 0.7206 0.0997 0.7454
Cl5 Cl 0.3503 0.3177 0.5497
Cl6 Cl 0.6497 0.6823 0.4503
Cl7 Cl 0.1142 0.9110 0.6339
Cl8 Cl 0.5315 0.7839 0.8255
Cl9 Cl 0.4648 0.4741 0.8941
Cl10 Cl 0.5352 0.5259 0.1059
Cl11 Cl 0.0000 0.0000 0.0000
Cl12 Cl 0.8858 0.0890 0.3661
Pa1 Pa 0.1803 0.1657 0.2868
Pa2 Pa 0.8197 0.8343 0.7132
Cl13 Cl 0.4685 0.2161 0.1745

=====

Record 5
# Li4Al3Ge3ClO12, relaxed, DFT PBE-GGA
# Symmetry: P-43n
# E_tot in eV/atom: -6.36
data_Li4Al3Ge3ClO12
_chemical_formula_sum 'Li8 Al6 Ge6 Cl2 O24'
_cell_length_a 8.7253
_cell_length_b 8.7253
_cell_length_c 8.7253
_cell_angle_alpha 90.00
_cell_angle_beta 90.00
_cell_angle_gamma 90.00
_space_group_name_H-M_alt 'P 1'
_space_group_IT_number 1
_space_group_name_Hall 'P 1'
loop_
_atom_site_label
_atom_site_type_symbol
_atom_site_fract_x
_atom_site_fract_y
_atom_site_fract_z
O1 O 0.8620 0.4023 0.8618
O2 O 0.8618 0.8620 0.4023
Li1 Li 0.3220 0.3220 0.6780
Li2 Li 0.3220 0.6780 0.3220
O3 O 0.0977 0.6380 0.3618
Cl1 Cl 0.5000 0.5000 0.5000
Ge1 Ge 0.5000 0.7500 0.0000
O4 O 0.4023 0.1382 0.1380
O5 O 0.1380 0.5977 0.8618
O6 O 0.3618 0.9023 0.3620
O7 O 0.5977 0.1382 0.8620
O8 O 0.1380 0.4023 0.1382
Li3 Li 0.1780 0.8220 0.8220
O9 O 0.0977 0.3620 0.6382
Li4 Li 0.6780 0.6780 0.6780
Li5 Li 0.8220 0.8220 0.1780
Al1 Al 0.2500 0.5000 0.0000
O10 O 0.3620 0.3618 0.9023
Ge2 Ge 0.0000 0.5000 0.2500
O11 O 0.3620 0.6382 0.0977
Cl2 Cl 0.0000 0.0000 0.0000
O12 O 0.4023 0.8618 0.8620
O13 O 0.8618 0.1380 0.5977
Li6 Li 0.8220 0.1780 0.8220
O14 O 0.6382 0.0977 0.3620
Al2 Al 0.5000 0.0000 0.7500
O15 O 0.6380 0.3618 0.0977
Al3 Al 0.0000 0.2500 0.5000
O16 O 0.6382 0.9023 0.6380
O17 O 0.8620 0.5977 0.1382
Al4 Al 0.5000 0.0000 0.2500
O18 O 0.9023 0.3620 0.3618
O19 O 0.9023 0.6380 0.6382
Al5 Al 0.0000 0.7500 0.5000
O20 O 0.3618 0.0977 0.6380
Ge3 Ge 0.5000 0.2500 0.0000
Li7 Li 0.6780 0.3220 0.3220
Ge4 Ge 0.2500 0.0000 0.5000
Al6 Al 0.7500 0.5000 0.0000
Li8 Li 0.1780 0.1780 0.1780
O21 O 0.1382 0.8620 0.5977
O22 O 0.6380 0.6382 0.9023
O23 O 0.5977 0.8618 0.1380
Ge5 Ge 0.0000 0.5000 0.7500
O24 O 0.1382 0.1380 0.4023
Ge6 Ge 0.7500 0.0000 0.5000

=====

Record 6
# MnSbP2, relaxed, DFT PBE-GGA
# Symmetry: Imm2
# E_tot in eV/atom: -5.65
data_MnSbP2
_chemical_formula_sum 'Mn1 Sb1 P2'
_cell_length_a 5.2898
_cell_length_b 5.2898
_cell_length_c 5.2898
_cell_angle_alpha 144.34
_cell_angle_beta 123.93
_cell_angle_gamma 68.25
_space_group_name_H-M_alt 'P 1'
_space_group_IT_number 1
_space_group_name_Hall 'P 1'
loop_
_atom_site_label
_atom_site_type_symbol
_atom_site_fract_x
_atom_site_fract_y
_atom_site_fract_z
P1 P 0.9780 0.9780 0.0000
Sb1 Sb 0.5158 0.5158 0.0000
P2 P 0.7873 0.2873 0.5000
Mn1 Mn 0.2188 0.7188 0.5000

=====

Record 7
# Dy2YTl2Ag2, relaxed, DFT PBE-GGA
# Symmetry: R-3m
# Energy of formation in eV per atom: -0.15
data_Dy2YTl2Ag2
_chemical_formula_sum 'Dy2 Y1 Tl2 Ag2'
_cell_length_a 4.9020
_cell_length_b 4.9020
_cell_length_c 9.0613
_cell_angle_alpha 74.31
_cell_angle_beta 74.31
_cell_angle_gamma 60.00
_space_group_name_H-M_alt 'P 1'
_space_group_IT_number 1
_space_group_name_Hall 'P 1'
loop_
_atom_site_label
_atom_site_type_symbol
_atom_site_fract_x
_atom_site_fract_y
_atom_site_fract_z
Dy1 Dy 0.8673 0.8673 0.3982
Y1 Y 0.0000 0.0000 0.0000
Ag1 Ag 0.5672 0.5672 0.2984
Tl1 Tl 0.2654 0.2654 0.2037
Ag2 Ag 0.4328 0.4328 0.7016
Dy2 Dy 0.1327 0.1327 0.6018
Tl2 Tl 0.7346 0.7346 0.7963

=====

Record 8
# ZrRePb3, relaxed, DFT PBE-GGA
# Distance to the lowest polymorph of the same formula in meV per atom: 0
# Symmetry: Pm-3m
# Energy of formation in eV per atom: 1.10
data_ZrRePb3
_chemical_formula_sum 'Zr1 Re1 Pb3'
_cell_length_a 5.2984
_cell_length_b 5.2984
_cell_length_c 5.2984
_cell_angle_alpha 90.00
_cell_angle_beta 90.00
_cell_angle_gamma 90.00
_space_group_name_H-M_alt 'P 1'
_space_group_IT_number 1
_space_group_name_Hall 'P 1'
loop_
_atom_site_label
_atom_site_type_symbol
_atom_site_fract_x
_atom_site_fract_y
_atom_site_fract_z
Pb1 Pb 0.5000 0.0000 0.0000
Pb2 Pb 0.0000 0.0000 0.5000
Pb3 Pb 0.0000 0.5000 0.0000
Zr1 Zr 0.5000 0.5000 0.5000
Re1 Re 0.0000 0.0000 0.0000

=====

Computed values of magnetization (unit: μB per formula unit) for the preceding records, in sequence: 0.000, 0.000, 0.000, 1.160, 0.360, 3.871, 0.000, 0.000.